Record 1
First-principles (PBE with a Hubbard U) data for crystalline Cs2AcMo3O12 at its relaxed geometry, as listed in Alexandria.

Lattice parameters (Å, degrees): 7.7911 7.7911 7.7911 58.29 58.29 58.29
Positions (direct):
1 Cs 0.1195 0.1195 0.1195
2 Cs 0.8805 0.8805 0.8805
3 Ac 0.5000 0.5000 0.5000
4 Mo 0.0000 0.5000 0.5000
5 Mo 0.5000 0.0000 0.5000
6 Mo 0.5000 0.5000 0.0000
7 O 0.1119 0.5907 0.5907
8 O 0.2101 0.2101 0.5711
9 O 0.2101 0.5711 0.2101
10 O 0.4093 0.4093 0.8881
11 O 0.4093 0.8881 0.4093
12 O 0.4289 0.7899 0.7899
13 O 0.5711 0.2101 0.2101
14 O 0.5907 0.1119 0.5907
15 O 0.5907 0.5907 0.1119
16 O 0.7899 0.4289 0.7899
17 O 0.7899 0.7899 0.4289
18 O 0.8881 0.4093 0.4093

Values from the calculation:
- Energy: -119.70 eV for the cell shown
- Symmetry: R-3m (166)
- V: 321 Å³ per cell


Record 2
First-principles (PBE with a Hubbard U) data for crystalline Cs2Ac2MoO6 at its relaxed geometry, as listed in Alexandria.

Lattice parameters (Å, degrees): 6.3107 6.3107 7.2600 97.29 97.29 118.98
Positions (direct):
1 Cs 0.1615 0.8385 0.0000
2 Cs 0.8385 0.1615 0.0000
3 Ac 0.3363 0.6637 0.5000
4 Ac 0.6637 0.3363 0.5000
5 Mo 0.0000 0.0000 0.5000
6 O 0.0415 0.3301 0.6533
7 O 0.2455 0.2455 0.3334
8 O 0.3301 0.0415 0.6533
9 O 0.6699 0.9585 0.3467
10 O 0.7545 0.7545 0.6666
11 O 0.9585 0.6699 0.3467

Values from the calculation:
- Energy: -71.85 eV for the cell shown
- Symmetry: C2/m (12)
- V: 245 Å³ per cell


Record 3
First-principles (PBE with a Hubbard U) data for crystalline CsAcMo2O7 at its relaxed geometry, as listed in Alexandria.

Lattice parameters (Å, degrees): 4.0368 4.0368 11.0312 90.00 90.00 90.00
Positions (direct):
1 Cs 0.0000 0.0000 0.0000
2 Ac 0.0000 0.0000 0.5000
3 Mo 0.5000 0.5000 0.3030
4 Mo 0.5000 0.5000 0.6970
5 O 0.0000 0.5000 0.3361
6 O 0.0000 0.5000 0.6639
7 O 0.5000 0.0000 0.3361
8 O 0.5000 0.0000 0.6639
9 O 0.5000 0.5000 0.1428
10 O 0.5000 0.5000 0.5000
11 O 0.5000 0.5000 0.8572

Values from the calculation:
- Energy: -77.97 eV for the cell shown
- Symmetry: P4/mmm (123)
- V: 180 Å³ per cell


Record 4
First-principles (PBE with a Hubbard U) data for crystalline Cs4Ac3MoO8 at its relaxed geometry, as listed in Alexandria.

Lattice parameters (Å, degrees): 8.2049 8.2049 8.2049 54.99 54.99 54.99
Positions (direct):
1 Cs 0.0000 0.0000 0.0000
2 Cs 0.0000 0.5000 0.5000
3 Cs 0.5000 0.0000 0.5000
4 Cs 0.5000 0.5000 0.0000
5 Ac 0.0000 0.0000 0.5000
6 Ac 0.0000 0.5000 0.0000
7 Ac 0.5000 0.0000 0.0000
8 Mo 0.5000 0.5000 0.5000
9 O 0.2256 0.2256 0.2256
10 O 0.2481 0.7102 0.7102
11 O 0.2898 0.2898 0.7519
12 O 0.2898 0.7519 0.2898
13 O 0.7102 0.2481 0.7102
14 O 0.7102 0.7102 0.2481
15 O 0.7519 0.2898 0.2898
16 O 0.7744 0.7744 0.7744

Values from the calculation:
- Energy: -97.31 eV for the cell shown
- Symmetry: R-3m (166)
- V: 345 Å³ per cell